No. 1
! Li6Bi2B4SO16, PBEsol geometry, DFT SCAN; values from VASP
! - Electronic total energy: -739.420 eV for the cell shown
! - Volume: 10.668 Å³/atom
! - SG: Fd-3 (203)
&SYSTEM
  ibrav = 0, nat = 58, ntyp = 5
/
ATOMIC_SPECIES
Li 6.94 Li.upf
Bi 208.98 Bi.upf
B 10.81 B.upf
S 32.06 S.upf
O 16.00 O.upf
ATOMIC_POSITIONS crystal
Li 0.461 0.461 0.039
Li 0.461 0.039 0.039
Li 0.461 0.039 0.461
Li 0.211 0.211 0.789
Li 0.039 0.461 0.461
Li 0.039 0.461 0.039
Li 0.211 0.789 0.211
Li 0.211 0.789 0.789
Li 0.039 0.039 0.461
Li 0.789 0.211 0.211
Li 0.789 0.211 0.789
Li 0.789 0.789 0.211
Bi 0.625 0.625 0.625
Bi 0.625 0.625 0.125
Bi 0.625 0.125 0.625
Bi 0.125 0.625 0.625
B 0.439 0.854 0.854
B 0.396 0.396 0.811
B 0.396 0.396 0.396
B 0.396 0.811 0.396
B 0.854 0.439 0.854
B 0.854 0.854 0.854
B 0.854 0.854 0.439
B 0.811 0.396 0.396
S 0.000 0.000 0.000
S 0.250 0.250 0.250
O 0.440 0.707 0.995
O 0.440 0.857 0.707
O 0.440 0.995 0.857
O 0.543 0.255 0.810
O 0.064 0.809 0.064
O 0.393 0.255 0.543
O 0.543 0.393 0.255
O 0.064 0.064 0.064
O 0.064 0.064 0.809
O 0.393 0.543 0.810
O 0.255 0.393 0.810
O 0.809 0.064 0.064
O 0.543 0.810 0.393
O 0.255 0.543 0.393
O 0.393 0.810 0.255
O 0.995 0.440 0.707
O 0.255 0.810 0.543
O 0.857 0.440 0.995
O 0.995 0.707 0.857
O 0.707 0.440 0.857
O 0.441 0.186 0.186
O 0.995 0.857 0.440
O 0.857 0.707 0.440
O 0.186 0.186 0.441
O 0.186 0.186 0.186
O 0.707 0.857 0.995
O 0.857 0.995 0.707
O 0.186 0.441 0.186
O 0.707 0.995 0.440
O 0.810 0.255 0.393
O 0.810 0.393 0.543
O 0.810 0.543 0.255
CELL_PARAMETERS angstrom
9.565 0.000 0.000
4.782 8.283 0.000
4.782 2.761 7.810

=====

No. 2
! Ag2C, PBEsol geometry, DFT SCAN; values from VASP
! - Electronic total energy: -137.559 eV for the cell shown
! - Volume: 13.718 Å³/atom
! - Polymorph energy (0 for the lowest one): 0.000 eV/atom
! - Calculated formation energy: 1.351 eV/atom
! - SG: Cmc2_1 (36)
&SYSTEM
  ibrav = 0, nat = 6, ntyp = 2
/
ATOMIC_SPECIES
Ag 107.87 Ag.upf
C 12.01 C.upf
ATOMIC_POSITIONS crystal
Ag 0.741 0.803 0.482
Ag 0.259 0.303 0.518
Ag 0.478 0.833 0.957
Ag 0.522 0.333 0.043
C 0.896 0.531 0.792
C 0.104 0.031 0.208
CELL_PARAMETERS angstrom
-1.595 -0.693 2.235
3.578 -3.832 1.365
3.463 3.904 1.886

=====

No. 3
! BaTe2Ru, PBEsol geometry, DFT SCAN; values from VASP
! - Electronic total energy: -150.478 eV for the cell shown
! - Volume: 27.052 Å³/atom
! - SG: Imm2 (44)
&SYSTEM
  ibrav = 0, nat = 4, ntyp = 3
/
ATOMIC_SPECIES
Ba 137.33 Ba.upf
Ru 101.07 Ru.upf
Te 127.60 Te.upf
ATOMIC_POSITIONS crystal
Ba 0.553 0.553 0.105
Ru 0.294 0.794 0.588
Te 0.920 0.920 0.839
Te 0.733 0.233 0.467
CELL_PARAMETERS angstrom
3.634 0.000 0.000
0.000 4.006 0.000
-1.817 -2.003 7.434

=====

No. 4
! Tl3Se2, PBEsol geometry, DFT SCAN; values from VASP
! - Electronic total energy: -258.627 eV for the cell shown
! - Volume: 29.469 Å³/atom
! - SG: P-3m1 (164)
&SYSTEM
  ibrav = 0, nat = 5, ntyp = 2
/
ATOMIC_SPECIES
Tl 204.38 Tl.upf
Se 78.96 Se.upf
ATOMIC_POSITIONS crystal
Tl 0.000 0.000 0.000
Tl 0.333 0.667 0.309
Tl 0.667 0.333 0.691
Se 0.333 0.667 0.773
Se 0.667 0.333 0.227
CELL_PARAMETERS angstrom
-5.061 -0.303 0.596
3.062 -3.231 2.499
0.338 4.186 4.997

=====

No. 5
! SnBrN2O, PBEsol geometry, DFT SCAN; values from VASP
! - Electronic total energy: -72.174 eV for the cell shown
! - Volume: 12.481 Å³/atom
! - SG: P4/mmm (123)
&SYSTEM
  ibrav = 0, nat = 5, ntyp = 4
/
ATOMIC_SPECIES
O 16.00 O.upf
Sn 118.71 Sn.upf
Br 79.90 Br.upf
N 14.01 N.upf
ATOMIC_POSITIONS crystal
O 0.500 0.000 0.000
Sn 0.500 0.500 0.500
Br 0.000 0.000 0.000
N 0.000 0.000 0.500
N 0.000 0.500 0.000
CELL_PARAMETERS angstrom
-1.629 -2.413 2.656
0.870 -3.125 -2.305
3.518 -0.367 1.824

=====

No. 6
! CuRuPt2, PBEsol geometry, DFT SCAN; values from VASP
! - Electronic total energy: -190.734 eV for the cell shown
! - Volume: 13.715 Å³/atom
! - Polymorph energy (0 for the lowest one): 0.000 eV/atom
! - Calculated formation energy: -0.080 eV/atom
! - SG: P4/mmm (123)
&SYSTEM
  ibrav = 0, nat = 4, ntyp = 3
/
ATOMIC_SPECIES
Ru 101.07 Ru.upf
Cu 63.55 Cu.upf
Pt 195.08 Pt.upf
ATOMIC_POSITIONS crystal
Ru 0.500 0.500 0.000
Cu 0.500 0.500 0.500
Pt 0.000 0.000 0.748
Pt 0.000 0.000 0.252
CELL_PARAMETERS angstrom
-0.442 -2.449 1.064
2.670 -0.400 0.188
-0.036 2.990 6.864

=====

No. 7
! KCdAg2, PBEsol geometry, DFT SCAN; values from VASP
! - Electronic total energy: -101.076 eV for the cell shown
! - Volume: 23.578 Å³/atom
! - Polymorph energy (0 for the lowest one): 0.000 eV/atom
! - Calculated formation energy: 0.100 eV/atom
! - SG: P4/mmm (123)
&SYSTEM
  ibrav = 0, nat = 4, ntyp = 3
/
ATOMIC_SPECIES
Ag 107.87 Ag.upf
Cd 112.41 Cd.upf
K 39.10 K.upf
ATOMIC_POSITIONS crystal
Ag 0.000 0.000 0.816
Ag 0.000 0.000 0.184
Cd 0.500 0.500 0.000
K 0.500 0.500 0.500
CELL_PARAMETERS angstrom
-0.879 -2.182 -2.565
3.364 -0.689 -0.567
-0.340 -5.866 5.107

=====

No. 8
! Lu2TlHg, PBEsol geometry, DFT SCAN; values from VASP
! - Electronic total energy: -253.467 eV for the cell shown
! - Volume: 23.760 Å³/atom
! - Calculated formation energy: -0.563 eV/atom
! - SG: Fm-3m (225)
&SYSTEM
  ibrav = 0, nat = 4, ntyp = 3
/
ATOMIC_SPECIES
Tl 204.38 Tl.upf
Lu 174.97 Lu.upf
Hg 200.59 Hg.upf
ATOMIC_POSITIONS crystal
Tl 0.500 0.500 0.500
Lu 0.750 0.750 0.750
Lu 0.250 0.250 0.250
Hg 0.000 0.000 0.000
CELL_PARAMETERS angstrom
-2.869 4.106 1.074
-2.916 0.056 4.211
1.243 3.035 3.935